No. 1
Computed, not measured: an optimized crystal structure of CaHfCd at the GGA-PBE level of DFT.

Summary:
ΔE to the lowest computed polymorph, meV/atom: 434.4
Calculated volume, Å³ per atom: 28.39
Energy of formation from the pure elements, meV/atom: 483
E_tot, eV/cell: -22.841
D(E_F), states/eV per atom: 1.355

Cell: 4.6530 4.6530 7.8675 Å, 90.00 90.00 90.00°
Space group P4/nmm (No. 129, origin choice 2)
Inequivalent atoms, fractional coordinates:
Ca 0.2500 0.2500 0.1675 (multiplicity 2)
Hf 0.2500 0.2500 0.7268 (multiplicity 2)
Cd 0.2500 0.7500 0.5000 (multiplicity 2)

No. 2
Computed, not measured: an optimized crystal structure of CaHfCd2 at the GGA-PBE level of DFT.

Summary:
ΔE to the lowest computed polymorph, meV/atom: 88.4
Calculated volume, Å³ per atom: 24.10
Energy of formation from the pure elements, meV/atom: 2
E_tot, eV/cell: -55.105
D(E_F), states/eV per atom: 0.541

Cell: 7.2790 7.2790 7.2790 Å, 90.00 90.00 90.00°
Space group Fm-3m (No. 225)
Inequivalent atoms, fractional coordinates:
Ca 0.0000 0.0000 0.0000 (multiplicity 4)
Hf 0.0000 0.0000 0.5000 (multiplicity 4)
Cd 0.2500 0.2500 0.2500 (multiplicity 8)

No. 3
Computed, not measured: an optimized crystal structure of CaHf3Cd at the GGA-PBE level of DFT.

Summary:
ΔE to the lowest computed polymorph, meV/atom: 0.0
Calculated volume, Å³ per atom: 29.82
Energy of formation from the pure elements, meV/atom: 1087
E_tot, eV/cell: -27.343
D(E_F), states/eV per atom: 1.575

Cell: 5.3027 5.3027 5.3027 Å, 90.00 90.00 90.00°
Space group Pm-3m (No. 221)
Inequivalent atoms, fractional coordinates:
Ca 0.0000 0.0000 0.0000 (multiplicity 1)
Hf 0.0000 0.5000 0.5000 (multiplicity 3)
Cd 0.5000 0.5000 0.5000 (multiplicity 1)

No. 4
Computed, not measured: an optimized crystal structure of CaHfCd at the GGA-PBE level of DFT.

Summary:
ΔE to the lowest computed polymorph, meV/atom: 193.3
Calculated volume, Å³ per atom: 25.69
Energy of formation from the pure elements, meV/atom: 242
E_tot, eV/cell: -48.575
D(E_F), states/eV per atom: 1.281

Cell: 16.5466 3.2780 5.6836 Å, 90.00 90.00 90.00°
Space group Amm2 (No. 38)
Inequivalent atoms, fractional coordinates:
Ca 0.1707 0.0000 0.0000 (multiplicity 4)
Hf 0.3440 0.0000 0.6662 (multiplicity 4)
Cd 0.0000 0.0000 0.6678 (multiplicity 2)
Cd 0.5000 0.0000 0.9986 (multiplicity 2)

No. 5
Computed, not measured: an optimized crystal structure of Ca3HfCd at the GGA-PBE level of DFT.

Summary:
ΔE to the lowest computed polymorph, meV/atom: 0.0
Calculated volume, Å³ per atom: 38.16
Energy of formation from the pure elements, meV/atom: 703
E_tot, eV/cell: -13.357
D(E_F), states/eV per atom: 1.163

Cell: 5.7568 5.7568 5.7568 Å, 90.00 90.00 90.00°
Space group Pm-3m (No. 221)
Inequivalent atoms, fractional coordinates:
Ca 0.0000 0.0000 0.5000 (multiplicity 3)
Hf 0.5000 0.5000 0.5000 (multiplicity 1)
Cd 0.0000 0.0000 0.0000 (multiplicity 1)

No. 6
Computed, not measured: an optimized crystal structure of CaHfCd2 at the GGA-PBE level of DFT.

Summary:
ΔE to the lowest computed polymorph, meV/atom: 465.6
Calculated volume, Å³ per atom: 27.40
Energy of formation from the pure elements, meV/atom: 379
E_tot, eV/cell: -49.069
D(E_F), states/eV per atom: 0.931

Cell: 8.0276 8.0276 6.8041 Å, 90.00 90.00 90.00°
Space group I-42d (No. 122)
Inequivalent atoms, fractional coordinates:
Ca 0.0000 0.0000 0.0000 (multiplicity 4)
Hf 0.0000 0.0000 0.5000 (multiplicity 4)
Cd 0.2288 0.2500 0.6250 (multiplicity 8)

No. 7
Computed, not measured: an optimized crystal structure of CaHfCd3 at the GGA-PBE level of DFT.

Summary:
ΔE to the lowest computed polymorph, meV/atom: 0.0
Calculated volume, Å³ per atom: 33.43
Energy of formation from the pure elements, meV/atom: 522
E_tot, eV/cell: -12.091
D(E_F), states/eV per atom: 1.088

Cell: 5.5086 5.5086 5.5086 Å, 90.00 90.00 90.00°
Space group Pm-3m (No. 221)
Inequivalent atoms, fractional coordinates:
Ca 0.0000 0.0000 0.0000 (multiplicity 1)
Hf 0.5000 0.5000 0.5000 (multiplicity 1)
Cd 0.0000 0.5000 0.5000 (multiplicity 3)

No. 8
Computed, not measured: an optimized crystal structure of Ca3HfCd at the GGA-PBE level of DFT.

Summary:
ΔE to the lowest computed polymorph, meV/atom: 218.1
Calculated volume, Å³ per atom: 39.67
Energy of formation from the pure elements, meV/atom: 921
E_tot, eV/cell: -12.266
D(E_F), states/eV per atom: 1.975

Cell: 5.8319 5.8319 5.8319 Å, 90.00 90.00 90.00°
Space group Pm-3m (No. 221)
Inequivalent atoms, fractional coordinates:
Ca 0.0000 0.0000 0.5000 (multiplicity 3)
Hf 0.0000 0.0000 0.0000 (multiplicity 1)
Cd 0.5000 0.5000 0.5000 (multiplicity 1)

No. 9
Computed, not measured: an optimized crystal structure of CaHf3Cd at the GGA-PBE level of DFT.

Summary:
ΔE to the lowest computed polymorph, meV/atom: 644.4
Calculated volume, Å³ per atom: 26.12
Energy of formation from the pure elements, meV/atom: 1731
E_tot, eV/cell: -24.121
D(E_F), states/eV per atom: 1.568

Cell: 5.0737 5.0737 5.0737 Å, 90.00 90.00 90.00°
Space group Pm-3m (No. 221)
Inequivalent atoms, fractional coordinates:
Ca 0.0000 0.0000 0.0000 (multiplicity 1)
Hf 0.0000 0.0000 0.5000 (multiplicity 3)
Cd 0.5000 0.5000 0.5000 (multiplicity 1)

No. 10
Computed, not measured: an optimized crystal structure of CaHf2CdI at the GGA-PBE level of DFT.

Summary:
Calculated volume, Å³ per atom: 33.03
E_tot, eV/cell: -16.720
D(E_F), states/eV per atom: 1.071
Uncorrected formation energy, kcal/mol of atoms: 35.30

Cell: 5.4091 5.4091 5.6447 Å, 90.00 90.00 90.00°
Space group P4/mmm (No. 123)
Inequivalent atoms, fractional coordinates:
Ca 0.0000 0.0000 0.0000 (multiplicity 1)
Hf 0.0000 0.5000 0.0000 (multiplicity 2)
Cd 0.0000 0.0000 0.5000 (multiplicity 1)
I 0.5000 0.5000 0.5000 (multiplicity 1)

No. 11
Computed, not measured: an optimized crystal structure of NaCa2HfCd at the GGA-PBE level of DFT.

Summary:
Calculated volume, Å³ per atom: 36.46
Energy of formation from the pure elements, meV/atom: 798
E_tot, eV/cell: -12.199
D(E_F), states/eV per atom: 1.619

Cell: 5.8378 5.8378 5.3493 Å, 90.00 90.00 90.00°
Space group P4/mmm (No. 123)
Inequivalent atoms, fractional coordinates:
Na 0.0000 0.0000 0.0000 (multiplicity 1)
Ca 0.0000 0.5000 0.5000 (multiplicity 2)
Hf 0.5000 0.5000 0.0000 (multiplicity 1)
Cd 0.0000 0.0000 0.5000 (multiplicity 1)

No. 12
Computed, not measured: an optimized crystal structure of CaHf2CdSi at the GGA-PBE level of DFT.

Summary:
Calculated volume, Å³ per atom: 25.87
E_tot, eV/cell: -26.628
D(E_F), states/eV per atom: 1.042
Uncorrected formation energy, kcal/mol of atoms: 7.46

Cell: 5.0532 5.0532 5.0662 Å, 90.00 90.00 90.00°
Space group P4/mmm (No. 123)
Inequivalent atoms, fractional coordinates:
Ca 0.0000 0.0000 0.0000 (multiplicity 1)
Hf 0.0000 0.5000 0.5000 (multiplicity 2)
Cd 0.5000 0.5000 0.0000 (multiplicity 1)
Si 0.5000 0.5000 0.5000 (multiplicity 1)

No. 13
Computed, not measured: an optimized crystal structure of CaHfCd2Si at the GGA-PBE level of DFT.

Summary:
Calculated volume, Å³ per atom: 30.44
E_tot, eV/cell: -17.502
D(E_F), states/eV per atom: 0.715
Uncorrected formation energy, kcal/mol of atoms: 7.87

Cell: 5.4766 5.4766 5.0744 Å, 90.00 90.00 90.00°
Space group P4/mmm (No. 123)
Inequivalent atoms, fractional coordinates:
Ca 0.0000 0.0000 0.0000 (multiplicity 1)
Hf 0.5000 0.5000 0.5000 (multiplicity 1)
Cd 0.0000 0.5000 0.5000 (multiplicity 2)
Si 0.5000 0.5000 0.0000 (multiplicity 1)

No. 14
Computed, not measured: an optimized crystal structure of CaYHfCd2 at the GGA-PBE level of DFT.

Summary:
Calculated volume, Å³ per atom: 34.23
Energy of formation from the pure elements, meV/atom: 789
E_tot, eV/cell: -16.305
D(E_F), states/eV per atom: 1.011

Cell: 5.6904 5.6904 5.2858 Å, 90.00 90.00 90.00°
Space group P4/mmm (No. 123)
Inequivalent atoms, fractional coordinates:
Ca 0.0000 0.0000 0.0000 (multiplicity 1)
Y 0.5000 0.5000 0.5000 (multiplicity 1)
Hf 0.5000 0.5000 0.0000 (multiplicity 1)
Cd 0.0000 0.5000 0.5000 (multiplicity 2)